Entry 1:
! Li2TiAu (GGA-PBE, optimized geometry); values from VASP
&SYSTEM
  ibrav = 0, nat = 4, ntyp = 3
/
ATOMIC_SPECIES
Li 6.94 Li.upf
Ti 47.87 Ti.upf
Au 196.97 Au.upf
CELL_PARAMETERS angstrom
-0.9208 4.7321 0.1860
-1.0406 -0.3028 2.5515
4.4349 0.7882 1.9021
ATOMIC_POSITIONS crystal
Li 0.5000 0.0000 0.3155
Li 0.5000 0.5000 0.7942
Ti 0.0000 0.0000 0.9881
Au 0.0000 0.5000 0.4892
! Density of states at the Fermi level: 0.81 states/eV/atom
! Symmetry: Pmm2
! Calculated formation energy: -124 meV/atom
! Polymorph energy (0 for the lowest one): 100 meV per atom
! Magnetization: 0.202 μB per cell

---

Entry 2:
! Li2TiAu (GGA-PBE, optimized geometry); values from VASP
&SYSTEM
  ibrav = 0, nat = 16, ntyp = 3
/
ATOMIC_SPECIES
Ti 47.87 Ti.upf
Li 6.94 Li.upf
Au 196.97 Au.upf
CELL_PARAMETERS angstrom
4.5894 0.0000 0.0100
0.0000 2.9324 0.0000
-1.9985 0.0000 19.4403
ATOMIC_POSITIONS crystal
Ti 0.7393 0.5000 0.2316
Ti 0.7393 0.0000 0.7316
Ti 0.2606 0.0000 0.2684
Ti 0.2606 0.5000 0.7684
Li 0.5000 0.5000 0.0000
Li 0.5000 0.0000 0.5000
Li 0.1937 0.5000 0.1317
Li 0.0000 0.5000 0.5000
Li 0.1937 0.0000 0.6317
Li 0.0000 0.0000 0.0000
Li 0.8063 0.5000 0.8683
Li 0.8063 0.0000 0.3683
Au 0.6841 0.5000 0.6107
Au 0.3159 0.5000 0.3893
Au 0.3159 0.0000 0.8893
Au 0.6841 0.0000 0.1107
! Density of states at the Fermi level: 0.61 states/eV/atom
! Symmetry: C2/m
! Calculated formation energy: -219 meV/atom
! Polymorph energy (0 for the lowest one): 5 meV per atom
! Magnetization: 0.000 μB per cell

---

Entry 3:
! Li2TiAu (GGA-PBE, optimized geometry); values from VASP
&SYSTEM
  ibrav = 0, nat = 16, ntyp = 3
/
ATOMIC_SPECIES
Li 6.94 Li.upf
Ti 47.87 Ti.upf
Au 196.97 Au.upf
CELL_PARAMETERS angstrom
-2.1176 -6.5655 -3.9807
2.2636 -2.5130 2.9407
-5.3525 1.5013 5.4032
ATOMIC_POSITIONS crystal
Li 0.1134 0.0000 0.8713
Li 0.8866 0.0000 0.1287
Li 0.5000 0.0000 0.0000
Li 0.8866 0.5000 0.6287
Li 0.0000 0.0000 0.5000
Li 0.0000 0.5000 0.0000
Li 0.5000 0.5000 0.5000
Li 0.1134 0.5000 0.3713
Ti 0.3660 0.5000 0.1220
Ti 0.3660 0.0000 0.6220
Ti 0.6340 0.0000 0.3780
Ti 0.6340 0.5000 0.8780
Au 0.2810 0.5000 0.7600
Au 0.7190 0.5000 0.2400
Au 0.7190 0.0000 0.7400
Au 0.2810 0.0000 0.2600
! Density of states at the Fermi level: 0.99 states/eV/atom
! Symmetry: R-3m
! Calculated formation energy: -191 meV/atom
! Polymorph energy (0 for the lowest one): 33 meV per atom
! Magnetization: 0.001 μB per cell

---

Entry 4:
! Li2TiAu (GGA-PBE, optimized geometry); values from VASP
&SYSTEM
  ibrav = 0, nat = 16, ntyp = 3
/
ATOMIC_SPECIES
Ti 47.87 Ti.upf
Au 196.97 Au.upf
Li 6.94 Li.upf
CELL_PARAMETERS angstrom
-1.3113 1.4834 -8.6963
-2.5333 -2.1729 0.0113
-4.8367 5.6669 5.3939
ATOMIC_POSITIONS crystal
Ti 0.6309 0.0000 0.7679
Ti 0.3691 0.5000 0.7321
Ti 0.3691 0.0000 0.2321
Ti 0.6309 0.5000 0.2679
Au 0.7499 0.0000 0.5201
Au 0.7499 0.5000 0.0201
Au 0.2501 0.0000 0.4799
Au 0.2501 0.5000 0.9799
Li 0.1059 0.5000 0.2364
Li 0.5000 0.5000 0.5000
Li 0.0000 0.0000 0.0000
Li 0.8941 0.5000 0.7636
Li 0.1059 0.0000 0.7364
Li 0.8941 0.0000 0.2636
Li 0.0000 0.5000 0.5000
Li 0.5000 0.0000 0.0000
! Density of states at the Fermi level: 0.69 states/eV/atom
! Symmetry: C2/m
! Calculated formation energy: -186 meV/atom
! Polymorph energy (0 for the lowest one): 38 meV per atom
! Magnetization: 0.000 μB per cell

---

Entry 5:
! Li2TiAu (GGA-PBE, optimized geometry); values from VASP
&SYSTEM
  ibrav = 0, nat = 8, ntyp = 3
/
ATOMIC_SPECIES
Ti 47.87 Ti.upf
Au 196.97 Au.upf
Li 6.94 Li.upf
CELL_PARAMETERS angstrom
5.1317 -0.0636 0.0098
-2.0262 4.7777 0.0862
-0.7111 -0.8524 5.1576
ATOMIC_POSITIONS crystal
Ti 0.6240 0.8632 0.6326
Ti 0.3760 0.1368 0.3674
Au 0.8065 0.0464 0.1632
Au 0.1935 0.9536 0.8368
Li 0.3018 0.5610 0.1114
Li 0.0876 0.3797 0.6448
Li 0.6982 0.4390 0.8886
Li 0.9124 0.6203 0.3552
! Density of states at the Fermi level: 0.70 states/eV/atom
! Symmetry: P-1
! Calculated formation energy: -146 meV/atom
! Polymorph energy (0 for the lowest one): 78 meV per atom
! Magnetization: 1.823 μB per cell

---

Entry 6:
! LiTi2Au2 (GGA-PBE, optimized geometry); values from VASP
&SYSTEM
  ibrav = 0, nat = 10, ntyp = 3
/
ATOMIC_SPECIES
Ti 47.87 Ti.upf
Au 196.97 Au.upf
Li 6.94 Li.upf
CELL_PARAMETERS angstrom
8.0509 0.0000 0.0000
0.0000 8.0509 0.0000
0.0000 0.0000 2.8189
ATOMIC_POSITIONS crystal
Ti 0.1176 0.3824 0.0000
Ti 0.6176 0.1176 0.0000
Ti 0.3824 0.8824 0.0000
Ti 0.8824 0.6176 0.0000
Au 0.1772 0.6772 0.5000
Au 0.8228 0.3228 0.5000
Au 0.3228 0.1772 0.5000
Au 0.6772 0.8228 0.5000
Li 0.5000 0.5000 0.0000
Li 0.0000 0.0000 0.0000
! Density of states at the Fermi level: 0.89 states/eV/atom
! Symmetry: P4/mbm
! Calculated formation energy: -222 meV/atom
! Polymorph energy (0 for the lowest one): 22 meV per atom
! Magnetization: 0.519 μB per cell

---

Entry 7:
! LiTi2Au6 (GGA-PBE, optimized geometry); values from VASP
&SYSTEM
  ibrav = 0, nat = 18, ntyp = 3
/
ATOMIC_SPECIES
Au 196.97 Au.upf
Ti 47.87 Ti.upf
Li 6.94 Li.upf
CELL_PARAMETERS angstrom
-1.8016 2.0732 -4.0632
-7.4933 -3.2488 0.3642
-4.7111 5.5995 3.6453
ATOMIC_POSITIONS crystal
Au 0.9783 0.4219 0.6858
Au 0.0217 0.5781 0.3142
Au 0.8229 0.0128 0.7628
Au 0.6349 0.1047 0.3511
Au 0.6771 0.2372 0.9872
Au 0.1349 0.3511 0.1047
Au 0.4783 0.6858 0.4219
Au 0.3229 0.7628 0.0128
Au 0.8651 0.6489 0.8953
Au 0.3651 0.8953 0.6489
Au 0.5217 0.3142 0.5781
Au 0.1771 0.9872 0.2372
Ti 0.4201 0.5351 0.7899
Ti 0.9201 0.7899 0.5351
Ti 0.5799 0.4649 0.2101
Ti 0.0799 0.2101 0.4649
Li 0.2500 0.1226 0.8774
Li 0.7500 0.8774 0.1226
! Density of states at the Fermi level: 0.80 states/eV/atom
! Symmetry: C2/c
! Calculated formation energy: -330 meV/atom
! Polymorph energy (0 for the lowest one): 0 meV per atom
! Magnetization: 0.001 μB per cell

---

Entry 8:
! Li2TiAu8 (GGA-PBE, optimized geometry); values from VASP
&SYSTEM
  ibrav = 0, nat = 11, ntyp = 3
/
ATOMIC_SPECIES
Ti 47.87 Ti.upf
Au 196.97 Au.upf
Li 6.94 Li.upf
CELL_PARAMETERS angstrom
4.0934 0.0000 0.0000
0.0000 6.5046 0.3008
-2.0467 -2.4314 6.8950
ATOMIC_POSITIONS crystal
Ti 0.5000 0.0000 0.0000
Au 0.8593 0.8084 0.7186
Au 0.4001 0.5484 0.8001
Au 0.6800 0.9122 0.3601
Au 0.5999 0.4516 0.1999
Au 0.9565 0.2677 0.9130
Au 0.3200 0.0878 0.6399
Au 0.0435 0.7323 0.0870
Au 0.1407 0.1916 0.2814
Li 0.2204 0.6440 0.4407
Li 0.7796 0.3560 0.5593
! Density of states at the Fermi level: 0.40 states/eV/atom
! Symmetry: C2/m
! Calculated formation energy: -340 meV/atom
! Polymorph energy (0 for the lowest one): 0 meV per atom
! Magnetization: 0.000 μB per cell

---

Entry 9:
! Li2TiAu (GGA-PBE, optimized geometry); values from VASP
&SYSTEM
  ibrav = 0, nat = 16, ntyp = 3
/
ATOMIC_SPECIES
Au 196.97 Au.upf
Ti 47.87 Ti.upf
Li 6.94 Li.upf
CELL_PARAMETERS angstrom
-9.7894 -14.3458 0.2355
2.3383 -1.5462 3.0123
-2.1176 1.4845 2.4059
ATOMIC_POSITIONS crystal
Au 0.6218 0.0000 0.5000
Au 0.8782 0.5000 0.0000
Au 0.3782 0.0000 0.5000
Au 0.1218 0.5000 0.0000
Ti 0.7548 0.5000 0.5000
Ti 0.7452 0.0000 0.0000
Ti 0.2548 0.0000 0.0000
Ti 0.2452 0.5000 0.5000
Li 0.0000 0.5000 0.5000
Li 0.3795 0.5000 0.0000
Li 0.8795 0.0000 0.5000
Li 0.1205 0.0000 0.5000
Li 0.0000 0.0000 0.0000
Li 0.6205 0.5000 0.0000
Li 0.5000 0.5000 0.5000
Li 0.5000 0.0000 0.0000
! Density of states at the Fermi level: 0.80 states/eV/atom
! Symmetry: Immm
! Calculated formation energy: -224 meV/atom
! Polymorph energy (0 for the lowest one): 0 meV per atom
! Magnetization: 0.000 μB per cell

---

Entry 10:
! LiTiAu2 (GGA-PBE, optimized geometry); values from VASP
&SYSTEM
  ibrav = 0, nat = 4, ntyp = 3
/
ATOMIC_SPECIES
Ti 47.87 Ti.upf
Au 196.97 Au.upf
Li 6.94 Li.upf
CELL_PARAMETERS angstrom
-4.2908 3.4360 2.1577
0.9285 -5.7616 0.9025
5.4599 -2.2498 0.0284
ATOMIC_POSITIONS crystal
Ti 0.0000 0.5000 0.5000
Au 0.0000 0.7590 0.7590
Au 0.0000 0.2410 0.2410
Li 0.0000 0.0000 0.0000
! Density of states at the Fermi level: 0.92 states/eV/atom
! Symmetry: Immm
! Calculated formation energy: 245 meV/atom
! Magnetization: 0.001 μB per cell

---

Entry 11:
! LiTi2Au2 (GGA-PBE, optimized geometry); values from VASP
&SYSTEM
  ibrav = 0, nat = 10, ntyp = 3
/
ATOMIC_SPECIES
Au 196.97 Au.upf
Li 6.94 Li.upf
Ti 47.87 Ti.upf
CELL_PARAMETERS angstrom
7.7116 0.0000 0.0000
0.0000 7.7116 0.0000
0.0000 0.0000 3.0560
ATOMIC_POSITIONS crystal
Au 0.1352 0.3648 0.0000
Au 0.3648 0.8648 0.0000
Au 0.6352 0.1352 0.0000
Au 0.8648 0.6352 0.0000
Li 0.5000 0.5000 0.0000
Li 0.0000 0.0000 0.0000
Ti 0.1622 0.6622 0.5000
Ti 0.6622 0.8378 0.5000
Ti 0.3378 0.1622 0.5000
Ti 0.8378 0.3378 0.5000
! Density of states at the Fermi level: 0.76 states/eV/atom
! Symmetry: P4/mbm
! Calculated formation energy: -244 meV/atom
! Polymorph energy (0 for the lowest one): 0 meV per atom
! Magnetization: 2.017 μB per cell

---

Entry 12:
! Li2TiAu (GGA-PBE, optimized geometry); values from VASP
&SYSTEM
  ibrav = 0, nat = 4, ntyp = 3
/
ATOMIC_SPECIES
Li 6.94 Li.upf
Ti 47.87 Ti.upf
Au 196.97 Au.upf
CELL_PARAMETERS angstrom
0.0000 3.0792 3.0792
3.0792 0.0000 3.0792
3.0792 3.0792 0.0000
ATOMIC_POSITIONS crystal
Li 0.2500 0.2500 0.2500
Li 0.7500 0.7500 0.7500
Ti 0.0000 0.0000 0.0000
Au 0.5000 0.5000 0.5000
! Density of states at the Fermi level: 1.21 states/eV/atom
! Symmetry: Fm-3m
! Calculated formation energy: -29 meV/atom
! Polymorph energy (0 for the lowest one): 195 meV per atom
! Magnetization: 0.000 μB per cell